1.
Ca2PdAu | PBE-GGA | relaxed

Cell lengths 3.625, 3.625, 7.019 Å; angles 90.00, 90.00, 90.00 degrees
Fractional coordinates of all 4 atoms:
Ca 0.000 0.000 0.243
Ca 0.000 0.000 0.757
Pd 0.500 0.500 0.000
Au 0.500 0.500 0.500

Output
As for the crystal system: tetragonal.



2.
CaPdAu6 | PBE-GGA | relaxed

Cell lengths 5.358, 5.358, 5.358 Å; angles 90.00, 90.00, 90.00 degrees
Fractional coordinates of all 8 atoms:
Ca 0.000 0.000 0.000
Pd 0.500 0.500 0.500
Au 0.000 0.252 0.500
Au 0.000 0.748 0.500
Au 0.252 0.500 0.000
Au 0.500 0.000 0.252
Au 0.500 0.000 0.748
Au 0.748 0.500 0.000

Output
The calculation puts the energy above the most stable polymorph in this dataset at 63.6 meV per atom. As for the crystal system: cubic.



3.
CaPdAu2 | PBE-GGA | relaxed

Cell lengths 9.766, 9.766, 9.766 Å; angles 33.03, 33.03, 33.03 degrees
Fractional coordinates of all 12 atoms:
Ca 0.000 0.000 0.000
Ca 0.142 0.142 0.142
Ca 0.858 0.858 0.858
Pd 0.333 0.333 0.333
Pd 0.500 0.500 0.500
Pd 0.667 0.667 0.667
Au 0.082 0.585 0.586
Au 0.414 0.415 0.918
Au 0.414 0.919 0.414
Au 0.586 0.082 0.586
Au 0.586 0.586 0.082
Au 0.919 0.414 0.415

Output
The calculation puts the energy above the most stable polymorph in this dataset at 0.0 meV per atom. As for the crystal system: trigonal.



4.
Ca3PdAu | PBE-GGA | relaxed

Cell lengths 8.928, 7.658, 8.304 Å; angles 90.00, 102.69, 90.00 degrees
Fractional coordinates of all 20 atoms:
Ca 0.053 0.002 0.211
Ca 0.053 0.498 0.711
Ca 0.278 0.643 0.094
Ca 0.278 0.857 0.594
Ca 0.357 0.189 0.969
Ca 0.357 0.311 0.469
Ca 0.643 0.689 0.531
Ca 0.643 0.811 0.031
Ca 0.722 0.143 0.406
Ca 0.722 0.357 0.906
Ca 0.947 0.502 0.289
Ca 0.947 0.998 0.789
Pd 0.063 0.175 0.524
Pd 0.063 0.325 0.024
Pd 0.937 0.675 0.976
Pd 0.937 0.825 0.476
Au 0.418 0.547 0.790
Au 0.418 0.953 0.290
Au 0.582 0.047 0.710
Au 0.582 0.453 0.210

Output
The calculation puts the energy above the most stable polymorph in this dataset at 0.0 meV per atom. As for the crystal system: monoclinic.



5.
CaPd6Au | PBE-GGA | relaxed

Cell lengths 5.165, 5.165, 5.165 Å; angles 90.00, 90.00, 90.00 degrees
Fractional coordinates of all 8 atoms:
Ca 0.000 0.000 0.000
Pd 0.000 0.254 0.500
Pd 0.000 0.746 0.500
Pd 0.254 0.500 0.000
Pd 0.500 0.000 0.254
Pd 0.500 0.000 0.746
Pd 0.746 0.500 0.000
Au 0.500 0.500 0.500

Output
As for the crystal system: cubic.



6.
Ca3PdAu2 | PBE-GGA | relaxed

Cell lengths 12.092, 4.423, 11.535 Å; angles 90.00, 90.00, 90.00 degrees
Fractional coordinates of all 24 atoms:
Ca 0.042 0.250 0.127
Ca 0.118 0.750 0.558
Ca 0.229 0.250 0.798
Ca 0.271 0.750 0.298
Ca 0.382 0.250 0.058
Ca 0.458 0.750 0.627
Ca 0.542 0.250 0.373
Ca 0.618 0.750 0.942
Ca 0.729 0.250 0.702
Ca 0.771 0.750 0.202
Ca 0.882 0.250 0.442
Ca 0.958 0.750 0.873
Pd 0.126 0.250 0.377
Pd 0.374 0.750 0.877
Pd 0.626 0.250 0.123
Pd 0.874 0.750 0.623
Au 0.001 0.750 0.307
Au 0.185 0.750 0.010
Au 0.315 0.250 0.510
Au 0.499 0.250 0.807
Au 0.501 0.750 0.193
Au 0.685 0.750 0.490
Au 0.815 0.250 0.990
Au 0.999 0.250 0.693

Output
The calculation puts the energy above the most stable polymorph in this dataset at 10.6 meV per atom. As for the crystal system: orthorhombic.



7.
Ca2Pd4Au5 | PBE-GGA | relaxed

Cell lengths 10.169, 9.478, 5.383 Å; angles 81.31, 67.13, 31.56 degrees
Fractional coordinates of all 11 atoms:
Ca 0.130 0.130 0.870
Ca 0.870 0.870 0.130
Pd 0.205 0.540 0.460
Pd 0.460 0.795 0.205
Pd 0.540 0.205 0.795
Pd 0.795 0.460 0.540
Au 0.000 0.000 0.500
Au 0.250 0.250 0.250
Au 0.500 0.500 0.000
Au 0.500 0.500 0.500
Au 0.750 0.750 0.750

Output
As for the crystal system: orthorhombic.



8.
Ca3Pd2Au4 | PBE-GGA | relaxed

Cell lengths 4.653, 4.653, 21.552 Å; angles 90.00, 90.00, 120.00 degrees
Fractional coordinates of all 18 atoms:
Ca 0.000 0.000 0.000
Ca 0.000 0.000 0.159
Ca 0.000 0.000 0.329
Ca 0.000 0.000 0.493
Ca 0.000 0.000 0.665
Ca 0.000 0.000 0.830
Pd 0.333 0.667 0.073
Pd 0.667 0.333 0.085
Pd 0.667 0.333 0.422
Pd 0.667 0.333 0.758
Au 0.333 0.667 0.253
Au 0.333 0.667 0.406
Au 0.333 0.667 0.590
Au 0.333 0.667 0.741
Au 0.333 0.667 0.929
Au 0.667 0.333 0.233
Au 0.667 0.333 0.567
Au 0.667 0.333 0.901

Output
As for the crystal system: trigonal.



9.
Ca4Pd4Au | PBE-GGA | relaxed

Cell lengths 8.795, 8.795, 5.778 Å; angles 90.00, 90.00, 90.00 degrees
Fractional coordinates of all 18 atoms:
Ca 0.033 0.687 0.092
Ca 0.187 0.967 0.592
Ca 0.313 0.533 0.592
Ca 0.467 0.813 0.092
Ca 0.533 0.187 0.908
Ca 0.687 0.467 0.408
Ca 0.813 0.033 0.408
Ca 0.967 0.313 0.908
Pd 0.008 0.641 0.585
Pd 0.141 0.992 0.085
Pd 0.359 0.508 0.085
Pd 0.492 0.859 0.585
Pd 0.508 0.141 0.415
Pd 0.641 0.492 0.915
Pd 0.859 0.008 0.915
Pd 0.992 0.359 0.415
Au 0.250 0.250 0.250
Au 0.750 0.750 0.750

Output
As for the crystal system: tetragonal.



10.
CaPdAu | PBE-GGA | relaxed

Cell lengths 6.566, 6.566, 6.566 Å; angles 90.00, 90.00, 90.00 degrees
Fractional coordinates of all 12 atoms:
Ca 0.000 0.000 0.000
Ca 0.000 0.500 0.500
Ca 0.500 0.000 0.500
Ca 0.500 0.500 0.000
Pd 0.250 0.250 0.750
Pd 0.250 0.750 0.250
Pd 0.750 0.250 0.250
Pd 0.750 0.750 0.750
Au 0.000 0.000 0.500
Au 0.000 0.500 0.000
Au 0.500 0.000 0.000
Au 0.500 0.500 0.500

Output
The calculation puts the energy above the most stable polymorph in this dataset at 191.0 meV per atom. As for the crystal system: cubic.



11.
Ca3Pd3Au2 | PBE-GGA | relaxed

Cell lengths 5.948, 5.948, 14.545 Å; angles 90.00, 90.00, 136.05 degrees
Fractional coordinates of all 16 atoms:
Ca 0.080 0.920 0.604
Ca 0.080 0.920 0.896
Ca 0.353 0.647 0.750
Ca 0.647 0.353 0.250
Ca 0.920 0.080 0.104
Ca 0.920 0.080 0.396
Pd 0.378 0.622 0.250
Pd 0.395 0.605 0.544
Pd 0.395 0.605 0.956
Pd 0.605 0.395 0.044
Pd 0.605 0.395 0.456
Pd 0.622 0.378 0.750
Au 0.219 0.781 0.106
Au 0.219 0.781 0.394
Au 0.781 0.219 0.606
Au 0.781 0.219 0.894

Output
As for the crystal system: orthorhombic.



12.
CaPd2Au2 | PBE-GGA | relaxed

Cell lengths 7.688, 7.688, 3.275 Å; angles 90.00, 90.00, 90.00 degrees
Fractional coordinates of all 10 atoms:
Ca 0.000 0.000 0.000
Ca 0.500 0.500 0.000
Pd 0.164 0.336 0.500
Pd 0.336 0.836 0.500
Pd 0.664 0.164 0.500
Pd 0.836 0.664 0.500
Au 0.134 0.634 0.000
Au 0.366 0.134 0.000
Au 0.634 0.866 0.000
Au 0.866 0.366 0.000

Output
The calculation puts the energy above the most stable polymorph in this dataset at 44.8 meV per atom. As for the crystal system: tetragonal.



Formation energy from the elements / eV per atom: -0.733; -0.207; -0.598; -0.651; -0.124; -0.747; -0.405; -0.642; -0.499; -0.533; -0.646; -0.384
Total energy / eV/cell: -15.4; -28.5; -48.4; -70.9; -37.4; -88.9; -45.6; -70.6; -73.1; -48.3; -66.6; -41.7
DOS(E_F) / states/eV/cell: 2.0; 3.2; 2.6; 10.5; 8.7; 8.3; 4.6; 5.5; 7.2; 5.4; 6.3; 4.6